Compound: Tb7HoTh2
Source: Alexandria
Functional: PBE
Structure: optimized geometry

Calculated values
Polymorph energy (0 for the lowest one): 0.000 eV/atom
Raw total energy: -47.3 eV per cell
D(E_F): 1.4883 states/eV/atom
E_form: 0.4565 eV/atom
Crystal system: orthorhombic
M_tot: 0.0 μB/cell

Cell lengths 3.492, 10.257, 10.257 Å; angles 108.53, 90.00, 90.00 degrees
Element x y z (fractional)
Tb  0.000  0.669  0.331
Tb  0.000  0.331  0.669
Tb  0.500  0.131  0.384
Tb  0.500  0.869  0.616
Tb  0.500  0.384  0.131
Tb  0.500  0.616  0.869
Tb  0.500  0.500  0.500
Ho  0.000  0.000  0.000
Th  0.500  0.827  0.173
Th  0.500  0.173  0.827

---

Compound: Tb6Ho12Th
Source: Alexandria
Functional: PBE
Structure: optimized geometry

Calculated values
Polymorph energy (0 for the lowest one): 0.000 eV/atom
Raw total energy: -87.3 eV per cell
D(E_F): 1.6712 states/eV/atom
E_form: 0.1485 eV/atom
Crystal system: trigonal
M_tot: 0.0 μB/cell

Cell lengths 8.496, 8.496, 8.496 Å; angles 88.72, 88.72, 88.72 degrees
Element x y z (fractional)
Tb  0.745  0.910  0.312
Tb  0.688  0.255  0.090
Tb  0.090  0.688  0.255
Tb  0.255  0.090  0.688
Tb  0.312  0.745  0.910
Tb  0.910  0.312  0.745
Ho  0.774  0.543  0.439
Ho  0.439  0.774  0.543
Ho  0.543  0.439  0.774
Ho  0.226  0.457  0.561
Ho  0.561  0.226  0.457
Ho  0.457  0.561  0.226
Ho  0.009  0.211  0.349
Ho  0.789  0.651  0.991
Ho  0.651  0.991  0.789
Ho  0.991  0.789  0.651
Ho  0.211  0.349  0.009
Ho  0.349  0.009  0.211
Th  0.000  0.000  0.000

---

Compound: Tb3Ho2Th
Source: Alexandria
Functional: PBE
Structure: optimized geometry

Calculated values
Polymorph energy (0 for the lowest one): 0.000 eV/atom
Raw total energy: -58.1 eV per cell
D(E_F): 1.4019 states/eV/atom
E_form: 0.2369 eV/atom
Crystal system: orthorhombic
M_tot: 0.0 μB/cell

Cell lengths 6.822, 7.740, 7.740 Å; angles 75.02, 90.00, 90.00 degrees
Element x y z (fractional)
Tb  0.077  0.792  0.452
Tb  0.577  0.548  0.208
Tb  0.077  0.452  0.792
Tb  0.577  0.208  0.548
Tb  0.325  0.855  0.855
Tb  0.825  0.145  0.145
Ho  0.576  0.817  0.474
Ho  0.076  0.526  0.183
Ho  0.576  0.474  0.817
Ho  0.076  0.183  0.526
Th  0.827  0.852  0.852
Th  0.327  0.148  0.148

---

Compound: Tb4Ho3Th2
Source: Alexandria
Functional: PBE
Structure: optimized geometry

Calculated values
Polymorph energy (0 for the lowest one): 0.000 eV/atom
Raw total energy: -47.1 eV per cell
D(E_F): 1.3941 states/eV/atom
E_form: -0.0018 eV/atom
Crystal system: monoclinic
M_tot: 0.0 μB/cell

Cell lengths 3.588, 9.503, 9.473 Å; angles 115.20, 100.92, 90.00 degrees
Element x y z (fractional)
Tb  0.815  0.671  0.630
Tb  0.185  0.329  0.370
Tb  0.482  0.667  0.964
Tb  0.518  0.333  0.036
Ho  0.850  0.329  0.701
Ho  0.150  0.671  0.299
Ho  0.000  0.000  0.000
Th  0.668  0.000  0.336
Th  0.332  0.000  0.664

---

Compound: Tb8Ho6Th
Source: Alexandria
Functional: PBE
Structure: optimized geometry

Calculated values
Raw total energy: -70.0 eV per cell
D(E_F): 1.5436 states/eV/atom
E_form: 0.1254 eV/atom
Crystal system: trigonal
M_tot: 0.0 μB/cell

Cell lengths 8.618, 8.618, 8.618 Å; angles 62.96, 62.96, 62.96 degrees
Element x y z (fractional)
Tb  0.113  0.719  0.752
Tb  0.248  0.887  0.281
Tb  0.281  0.248  0.887
Tb  0.577  0.577  0.577
Tb  0.423  0.423  0.423
Tb  0.719  0.752  0.113
Tb  0.752  0.113  0.719
Tb  0.887  0.281  0.248
Ho  0.898  0.463  0.763
Ho  0.237  0.102  0.537
Ho  0.537  0.237  0.102
Ho  0.463  0.763  0.898
Ho  0.763  0.898  0.463
Ho  0.102  0.537  0.237
Th  0.000  0.000  0.000

---

Compound: Tb6Ho12Th
Source: Alexandria
Functional: PBE
Structure: optimized geometry

Calculated values
Polymorph energy (0 for the lowest one): 0.074 eV/atom
Raw total energy: -85.9 eV per cell
D(E_F): 1.8407 states/eV/atom
E_form: 0.2220 eV/atom
Crystal system: trigonal
M_tot: 0.0 μB/cell

Cell lengths 8.674, 8.674, 8.674 Å; angles 99.75, 99.75, 99.75 degrees
Element x y z (fractional)
Tb  0.895  0.337  0.895
Tb  0.895  0.895  0.337
Tb  0.337  0.895  0.895
Tb  0.105  0.105  0.663
Tb  0.105  0.663  0.105
Tb  0.663  0.105  0.105
Ho  0.756  0.244  0.500
Ho  0.347  0.077  0.347
Ho  0.347  0.347  0.077
Ho  0.923  0.653  0.653
Ho  0.653  0.653  0.923
Ho  0.653  0.923  0.653
Ho  0.500  0.756  0.244
Ho  0.244  0.500  0.756
Ho  0.244  0.756  0.500
Ho  0.500  0.244  0.756
Ho  0.756  0.500  0.244
Ho  0.077  0.347  0.347
Th  0.000  0.000  0.000

---

Compound: TbHo12Th6
Source: Alexandria
Functional: PBE
Structure: optimized geometry

Calculated values
Raw total energy: -98.6 eV per cell
D(E_F): 1.5286 states/eV/atom
E_form: 0.2900 eV/atom
Crystal system: cubic
M_tot: 0.0 μB/cell

Cell lengths 9.287, 9.287, 9.287 Å; angles 109.47, 109.47, 109.47 degrees
Element x y z (fractional)
Tb  0.000  0.000  0.000
Ho  0.261  0.071  0.810
Ho  0.261  0.451  0.190
Ho  0.739  0.549  0.810
Ho  0.739  0.929  0.190
Ho  0.071  0.810  0.261
Ho  0.451  0.190  0.261
Ho  0.549  0.810  0.739
Ho  0.929  0.190  0.739
Ho  0.810  0.261  0.071
Ho  0.190  0.261  0.451
Ho  0.810  0.739  0.549
Ho  0.190  0.739  0.929
Th  0.355  0.500  0.855
Th  0.645  0.500  0.145
Th  0.500  0.855  0.355
Th  0.500  0.145  0.645
Th  0.855  0.355  0.500
Th  0.145  0.645  0.500

---

Compound: Tb2Ho4Th5
Source: Alexandria
Functional: PBE
Structure: optimized geometry

Calculated values
Raw total energy: -63.3 eV per cell
D(E_F): 1.5836 states/eV/atom
E_form: 0.1281 eV/atom
Crystal system: monoclinic
M_tot: 0.0 μB/cell

Cell lengths 3.467, 8.787, 11.631 Å; angles 85.52, 90.00, 90.00 degrees
Element x y z (fractional)
Tb  0.000  0.943  0.636
Tb  0.000  0.057  0.364
Ho  0.500  0.296  0.554
Ho  0.500  0.840  0.901
Ho  0.500  0.704  0.446
Ho  0.500  0.160  0.099
Th  0.000  0.426  0.290
Th  0.000  0.798  0.174
Th  0.000  0.500  0.000
Th  0.000  0.202  0.826
Th  0.000  0.574  0.710